[1]
Rb2Mg4InSn3 | GGA-PBE | optimized geometry

For the formation energy, the calculation gives -1.44 eV per formula unit. For the density of states at the Fermi level, the calculation gives 6.4 states/eV/cell.

The structure belongs to space group P-4m2 (No. 115); the cell edges are 4.888, 4.888 and 12.905 Å and the angles 90.00°, 90.00° and 90.00°. Symmetry generates all atoms from Rb at (0.000, 0.500, 0.245), Mg at (0.000, 0.000, 0.000), Mg at (0.000, 0.500, 0.644), Mg at (0.500, 0.500, 0.000), In at (0.000, 0.000, 0.500), Sn at (0.000, 0.500, 0.869) and Sn at (0.500, 0.500, 0.500).

=====

[2]
RbMgInSn2 | GGA-PBE | optimized geometry

For the formation energy, the calculation gives -0.93 eV per formula unit. For the density of states at the Fermi level, the calculation gives 3.6 states/eV/cell.

The structure belongs to space group I-4m2 (No. 119); the cell edges are 5.103, 5.103 and 12.234 Å and the angles 90.00°, 90.00° and 90.00°. Symmetry generates all atoms from Rb at (0.000, 0.000, 0.000), Mg at (0.000, 0.500, 0.750), In at (0.000, 0.500, 0.250) and Sn at (0.000, 0.000, 0.381).

=====

[3]
Rb2Mg3InSn4 | GGA-PBE | optimized geometry

For the formation energy, the calculation gives -1.90 eV per formula unit. For the density of states at the Fermi level, the calculation gives 1.8 states/eV/cell.

The structure belongs to space group P-4m2 (No. 115); the cell edges are 4.892, 4.892 and 12.855 Å and the angles 90.00°, 90.00° and 90.00°. Symmetry generates all atoms from Rb at (0.000, 0.500, 0.250), Mg at (0.000, 0.000, 0.000), Mg at (0.000, 0.500, 0.636), In at (0.500, 0.500, 0.000), Sn at (0.000, 0.000, 0.500), Sn at (0.000, 0.500, 0.864) and Sn at (0.500, 0.500, 0.500).

=====

[4]
RbMg2InSn2 | GGA-PBE | optimized geometry

For the formation energy, the calculation gives 0.15 eV per formula unit. For the density of states at the Fermi level, the calculation gives 3.7 states/eV/cell.

The structure belongs to space group Pnnm (No. 58); the cell edges are 7.939, 10.788 and 5.115 Å and the angles 90.00°, 90.00° and 90.00°. Symmetry generates all atoms from Rb at (0.000, 0.000, 0.000), Mg at (0.088, 0.265, 0.500), In at (0.000, 0.500, 0.000) and Sn at (0.240, 0.311, 0.000).

=====

[5]
RbMgIn2Sn | GGA-PBE | optimized geometry

For the formation energy, the calculation gives -0.55 eV per formula unit. For the density of states at the Fermi level, the calculation gives 4.4 states/eV/cell.

The structure belongs to space group I-4m2 (No. 119); the cell edges are 4.923, 4.923 and 13.030 Å and the angles 90.00°, 90.00° and 90.00°. Symmetry generates all atoms from Rb at (0.000, 0.000, 0.000), Mg at (0.000, 0.500, 0.250), In at (0.000, 0.000, 0.387) and Sn at (0.000, 0.500, 0.750).

=====

[6]
RbMgIn2Tc | GGA-PBE | optimized geometry

For the formation energy, the calculation gives 4.41 eV per formula unit. For the density of states at the Fermi level, the calculation gives 4.0 states/eV/cell.

The structure belongs to space group P4/mmm (No. 123); the cell edges are 5.552, 5.552 and 5.225 Å and the angles 90.00°, 90.00° and 90.00°. Symmetry generates all atoms from Rb at (0.000, 0.000, 0.000), Mg at (0.500, 0.500, 0.500), In at (0.000, 0.500, 0.500) and Tc at (0.500, 0.500, 0.000).

=====

[7]
RbMgInTe3 | GGA-PBE | optimized geometry

The total DFT energy (no corrections) comes out at -3.137 eV/atom.

The structure belongs to space group P2_1/m (No. 11); the cell edges are 9.545, 4.391 and 11.714 Å and the angles 90.00°, 110.38° and 90.00°. Symmetry generates all atoms from Rb at (0.230, 0.250, 0.230), Mg at (0.355, 0.750, 0.914), In at (0.127, 0.250, 0.643), Te at (0.112, 0.250, 0.874), Te at (0.202, 0.750, 0.518) and Te at (0.499, 0.750, 0.171).

=====

[8]
RbMgIn2Te4 | GGA-PBE | optimized geometry

The total DFT energy (no corrections) comes out at -3.083 eV/atom. For the density of states at the Fermi level, the calculation gives 6.3 states/eV/cell.

The structure belongs to space group I-42m (No. 121); the cell edges are 7.269, 7.269 and 12.856 Å and the angles 90.00°, 90.00° and 90.00°. Symmetry generates all atoms from Rb at (0.000, 0.000, 0.000), Mg at (0.000, 0.000, 0.500), In at (0.000, 0.500, 0.250) and Te at (0.212, 0.212, 0.640).

=====

[9]
RbMgTi2In | GGA-PBE | optimized geometry

For the formation energy, the calculation gives 6.60 eV per formula unit. For the density of states at the Fermi level, the calculation gives 8.2 states/eV/cell.

The structure belongs to space group P4/mmm (No. 123); the cell edges are 5.314, 5.314 and 5.956 Å and the angles 90.00°, 90.00° and 90.00°. Symmetry generates all atoms from Rb at (0.000, 0.000, 0.000), Mg at (0.000, 0.000, 0.500), Ti at (0.000, 0.500, 0.500) and In at (0.500, 0.500, 0.000).

=====

[10]
Rb2MgTl3In4 | GGA-PBE | optimized geometry

For the formation energy, the calculation gives -0.53 eV per formula unit. For the density of states at the Fermi level, the calculation gives 6.0 states/eV/cell.

The structure belongs to space group P-4m2 (No. 115); the cell edges are 5.061, 5.061 and 13.087 Å and the angles 90.00°, 90.00° and 90.00°. Symmetry generates all atoms from Rb at (0.000, 0.500, 0.249), Mg at (0.000, 0.000, 0.500), Tl at (0.000, 0.500, 0.860), Tl at (0.500, 0.500, 0.500), In at (0.000, 0.000, 0.000), In at (0.000, 0.500, 0.630) and In at (0.500, 0.500, 0.000).

=====

[11]
RbMgTl3In | GGA-PBE | optimized geometry

For the formation energy, the calculation gives -0.35 eV per formula unit. For the density of states at the Fermi level, the calculation gives 6.8 states/eV/cell.

The structure belongs to space group Cmcm (No. 63); the cell edges are 4.819, 18.768 and 9.107 Å and the angles 90.00°, 90.00° and 90.00°. Symmetry generates all atoms from Rb at (0.000, 0.201, 0.250), Mg at (0.000, 0.000, 0.000), Tl at (0.000, 0.140, 0.750), Tl at (0.000, 0.387, 0.015) and In at (0.000, 0.489, 0.750).

=====

[12]
Rb2MgTl4In3 | GGA-PBE | optimized geometry

For the formation energy, the calculation gives -0.60 eV per formula unit. For the density of states at the Fermi level, the calculation gives 5.0 states/eV/cell.

The structure belongs to space group P-4m2 (No. 115); the cell edges are 5.128, 5.128 and 12.906 Å and the angles 90.00°, 90.00° and 90.00°. Symmetry generates all atoms from Rb at (0.000, 0.500, 0.249), Mg at (0.000, 0.000, 0.500), Tl at (0.000, 0.000, 0.000), Tl at (0.000, 0.500, 0.630), Tl at (0.500, 0.500, 0.000), In at (0.000, 0.500, 0.864) and In at (0.500, 0.500, 0.500).

=====

[13]
Rb2Mg3Tl12In | GGA-PBE | optimized geometry

For the formation energy, the calculation gives 1.11 eV per formula unit. For the density of states at the Fermi level, the calculation gives 31.7 states/eV/cell.

The structure belongs to space group R-3m (No. 166, hexagonal axes); the cell edges are 7.8431, 7.8431 and 35.0692 Å and the angles 90.00°, 90.00° and 120.00°. Symmetry generates all atoms from Rb at (0.0000, 0.0000, 0.1458), Mg at (0.0000, 0.5000, 0.0000), Tl at (0.0288, 0.5144, 0.0985), Tl at (0.0628, 0.5314, 0.6207) and In at (0.0000, 0.0000, 0.5000).

=====

[14]
RbMg2Tl4In | GGA-PBE | optimized geometry

For the formation energy, the calculation gives -0.27 eV per formula unit. For the density of states at the Fermi level, the calculation gives 7.7 states/eV/cell.

The structure belongs to space group R-3m (No. 166, hexagonal axes); the cell edges are 5.2668, 5.2668 and 32.6992 Å and the angles 90.00°, 90.00° and 120.00°. Symmetry generates all atoms from Rb at (0.0000, 0.0000, 0.0000), Mg at (0.0000, 0.0000, 0.2222), Tl at (0.0000, 0.0000, 0.1226), Tl at (0.0000, 0.0000, 0.4046) and In at (0.0000, 0.0000, 0.5000).

=====

[15]
RbMg2Tl2In | GGA-PBE | optimized geometry

For the formation energy, the calculation gives 0.55 eV per formula unit. For the density of states at the Fermi level, the calculation gives 8.0 states/eV/cell.

The structure belongs to space group Pnnm (No. 58); the cell edges are 6.938, 12.815 and 4.928 Å and the angles 90.00°, 90.00° and 90.00°. Symmetry generates all atoms from Rb at (0.000, 0.000, 0.000), Mg at (0.006, 0.371, 0.500), Tl at (0.172, 0.272, 0.000) and In at (0.000, 0.500, 0.000).

=====

[16]
RbMg2InW | GGA-PBE | optimized geometry

For the formation energy, the calculation gives 7.74 eV per formula unit. For the density of states at the Fermi level, the calculation gives 3.2 states/eV/cell.

The structure belongs to space group P4/mmm (No. 123); the cell edges are 5.440, 5.440 and 6.478 Å and the angles 90.00°, 90.00° and 90.00°. Symmetry generates all atoms from Rb at (0.000, 0.000, 0.000), Mg at (0.000, 0.500, 0.500), In at (0.000, 0.000, 0.500) and W at (0.500, 0.500, 0.000).

=====

[17]
RbYMgIn2 | GGA-PBE | optimized geometry

For the formation energy, the calculation gives 4.97 eV per formula unit. For the density of states at the Fermi level, the calculation gives 3.4 states/eV/cell.

The structure belongs to space group P4/mmm (No. 123); the cell edges are 5.845, 5.845 and 5.557 Å and the angles 90.00°, 90.00° and 90.00°. Symmetry generates all atoms from Rb at (0.000, 0.000, 0.000), Y at (0.500, 0.500, 0.500), Mg at (0.000, 0.000, 0.500) and In at (0.000, 0.500, 0.000).

=====

[18]
MgIn2Re | GGA-PBE | optimized geometry

For the formation energy, the calculation gives 1.67 eV per formula unit. For the density of states at the Fermi level, the calculation gives 6.4 states/eV/cell.

The structure belongs to space group R3m (No. 160, hexagonal axes); the cell edges are 3.0905, 3.0905 and 29.3920 Å and the angles 90.00°, 90.00° and 120.00°. Symmetry generates all atoms from Mg at (0.0000, 0.0000, 0.0000), In at (0.0000, 0.0000, 0.2430), In at (0.0000, 0.0000, 0.4832) and Re at (0.0000, 0.0000, 0.7398).

=====

[19]
MgIn2Re | GGA-PBE | optimized geometry

For the formation energy, the calculation gives 1.52 eV per formula unit. For the density of states at the Fermi level, the calculation gives 3.3 states/eV/cell.

The structure belongs to space group C2/m (No. 12); the cell edges are 9.864, 2.939 and 5.413 Å and the angles 90.00°, 98.19° and 90.00°. Symmetry generates all atoms from Mg at (0.000, 0.000, 0.000), In at (0.240, 0.000, 0.738) and Re at (0.000, 0.500, 0.500).

=====

[20]
Mg2InRe | GGA-PBE | optimized geometry

For the formation energy, the calculation gives 1.32 eV per formula unit. For the density of states at the Fermi level, the calculation gives 3.2 states/eV/cell.

The structure belongs to space group C2/m (No. 12); the cell edges are 10.035, 2.879 and 5.177 Å and the angles 90.00°, 97.33° and 90.00°. Symmetry generates all atoms from Mg at (0.240, 0.000, 0.233), In at (0.000, 0.000, 0.500) and Re at (0.000, 0.500, 0.000).